First-principles (PBE-GGA) data for an optimized crystal structure of CsSrLi2Mn, as listed in Alexandria.

Calculated values
**Calculated total energy**: -9.42 eV for the cell shown

```
data_CsSrLi2Mn
_chemical_formula_sum 'Cs1 Sr1 Li2 Mn1'
_cell_length_a 5.323
_cell_length_b 5.323
_cell_length_c 6.580
_cell_angle_alpha 90.00
_cell_angle_beta 90.00
_cell_angle_gamma 90.00
_symmetry_space_group_name_H-M 'P 4/m m m'
_symmetry_Int_Tables_number 123
_symmetry_space_group_name_Hall '-P 4 2'
loop_
_atom_site_label
_atom_site_fract_x
_atom_site_fract_y
_atom_site_fract_z
Cs1 0.000 0.000 0.000
Sr1 0.000 0.000 0.500
Li1 0.000 0.500 0.000
Mn1 0.500 0.500 0.500
```

First-principles (PBE-GGA) data for an optimized crystal structure of AlTe2Se, as listed in Alexandria.

Calculated values
**Formation energy (no corrections)**: -0.006 eV/atom
**Calculated total energy**: -27.07 eV for the cell shown

```
data_AlTe2Se
_chemical_formula_sum 'Al2 Te4 Se2'
_cell_length_a 6.068
_cell_length_b 6.068
_cell_length_c 5.852
_cell_angle_alpha 90.00
_cell_angle_beta 90.00
_cell_angle_gamma 90.00
_symmetry_space_group_name_H-M 'I 4/m m m'
_symmetry_Int_Tables_number 139
_symmetry_space_group_name_Hall '-I 4 2'
loop_
_atom_site_label
_atom_site_fract_x
_atom_site_fract_y
_atom_site_fract_z
Al1 0.000 0.000 0.000
Te1 0.000 0.500 0.000
Se1 0.000 0.000 0.500
```

First-principles (PBE-GGA) data for an optimized crystal structure of AcMg2Ge2Pd, as listed in Alexandria.

Calculated values
**Calculated total energy**: -46.20 eV for the cell shown

```
data_AcMg2Ge2Pd
_chemical_formula_sum 'Ac2 Mg4 Ge4 Pd2'
_cell_length_a 5.132
_cell_length_b 5.132
_cell_length_c 11.606
_cell_angle_alpha 90.00
_cell_angle_beta 90.00
_cell_angle_gamma 90.00
_symmetry_space_group_name_H-M 'I 4/m m m'
_symmetry_Int_Tables_number 139
_symmetry_space_group_name_Hall '-I 4 2'
loop_
_atom_site_label
_atom_site_fract_x
_atom_site_fract_y
_atom_site_fract_z
Ac1 0.000 0.000 0.000
Mg1 0.000 0.500 0.250
Ge1 0.000 0.000 0.296
Pd1 0.000 0.000 0.500
```

First-principles (PBE-GGA) data for an optimized crystal structure of SmHgSb2, as listed in Alexandria.

Calculated values
**Formation energy (no corrections)**: -0.489 eV/atom
**Calculated total energy**: -15.22 eV for the cell shown

```
data_SmHgSb2
_chemical_formula_sum 'Sm1 Hg1 Sb2'
_cell_length_a 4.840
_cell_length_b 4.840
_cell_length_c 4.537
_cell_angle_alpha 90.00
_cell_angle_beta 90.00
_cell_angle_gamma 90.00
_symmetry_space_group_name_H-M 'P 4/m m m'
_symmetry_Int_Tables_number 123
_symmetry_space_group_name_Hall '-P 4 2'
loop_
_atom_site_label
_atom_site_fract_x
_atom_site_fract_y
_atom_site_fract_z
Sm1 0.000 0.000 0.000
Hg1 0.500 0.500 0.000
Sb1 0.000 0.500 0.500
```

First-principles (PBE-GGA) data for an optimized crystal structure of Dy4ZnAu, as listed in Alexandria.

Calculated values
**Calculated total energy**: -24.29 eV for the cell shown

```
data_Dy4ZnAu
_chemical_formula_sum 'Dy4 Zn1 Au1'
_cell_length_a 4.945
_cell_length_b 4.945
_cell_length_c 7.024
_cell_angle_alpha 90.00
_cell_angle_beta 90.00
_cell_angle_gamma 90.00
_symmetry_space_group_name_H-M 'P 4/m m m'
_symmetry_Int_Tables_number 123
_symmetry_space_group_name_Hall '-P 4 2'
loop_
_atom_site_label
_atom_site_fract_x
_atom_site_fract_y
_atom_site_fract_z
Dy1 0.000 0.500 0.250
Zn1 0.000 0.000 0.000
Au1 0.500 0.500 0.500
```

First-principles (PBE-GGA) data for an optimized crystal structure of RbV2NiBr, as listed in Alexandria.

Calculated values
**Formation energy (no corrections)**: 0.735 eV/atom
**Calculated total energy**: -22.98 eV for the cell shown

```
data_RbV2NiBr
_chemical_formula_sum 'Rb1 V2 Ni1 Br1'
_cell_length_a 4.610
_cell_length_b 4.610
_cell_length_c 7.231
_cell_angle_alpha 90.00
_cell_angle_beta 90.00
_cell_angle_gamma 90.00
_symmetry_space_group_name_H-M 'P 4/m m m'
_symmetry_Int_Tables_number 123
_symmetry_space_group_name_Hall '-P 4 2'
loop_
_atom_site_label
_atom_site_fract_x
_atom_site_fract_y
_atom_site_fract_z
Rb1 0.000 0.000 0.000
V1 0.000 0.500 0.500
Ni1 0.500 0.500 0.500
Br1 0.500 0.500 0.000
```

First-principles (PBE-GGA) data for an optimized crystal structure of SbPb2O, as listed in Alexandria.

Calculated values
**Formation energy (no corrections)**: -0.270 eV/atom
**Calculated total energy**: -70.31 eV for the cell shown

```
data_SbPb2O
_chemical_formula_sum 'Sb4 Pb8 O4'
_cell_length_a 6.111
_cell_length_b 6.111
_cell_length_c 13.151
_cell_angle_alpha 90.00
_cell_angle_beta 90.00
_cell_angle_gamma 90.00
_symmetry_space_group_name_H-M 'I -4 2 d'
_symmetry_Int_Tables_number 122
_symmetry_space_group_name_Hall 'I -4 2bw'
loop_
_atom_site_label
_atom_site_fract_x
_atom_site_fract_y
_atom_site_fract_z
Sb1 0.000 0.000 0.000
Pb1 0.157 0.250 0.625
O1 0.000 0.000 0.500
```

First-principles (PBE-GGA) data for an optimized crystal structure of SrInPd2, as listed in Alexandria.

Calculated values
**Calculated total energy**: -34.76 eV for the cell shown

```
data_SrInPd2
_chemical_formula_sum 'Sr2 In2 Pd4'
_cell_length_a 4.662
_cell_length_b 7.135
_cell_length_c 5.831
_cell_angle_alpha 90.00
_cell_angle_beta 90.00
_cell_angle_gamma 90.00
_symmetry_space_group_name_H-M 'P m m n'
_symmetry_Int_Tables_number 59
loop_
_symmetry_equiv_pos_as_xyz
'x,y,z'
'-x,-y,-z'
'-x+1/2,-y+1/2,z'
'x+1/2,y+1/2,-z'
'x+1/2,-y,-z'
'-x+1/2,y,z'
'-x,y+1/2,-z'
'x,-y+1/2,z'
loop_
_atom_site_label
_atom_site_fract_x
_atom_site_fract_y
_atom_site_fract_z
Sr1 0.250 0.250 0.153
In1 0.250 0.750 0.335
Pd1 0.250 0.051 0.635
```

First-principles (PBE-GGA) data for an optimized crystal structure of RuS4I, as listed in Alexandria.

Calculated values
**Formation energy (no corrections)**: -0.036 eV/atom
**Calculated total energy**: -55.11 eV for the cell shown

```
data_RuS4I
_chemical_formula_sum 'Ru2 S8 I2'
_cell_length_a 6.819
_cell_length_b 7.401
_cell_length_c 8.410
_cell_angle_alpha 90.15
_cell_angle_beta 108.74
_cell_angle_gamma 114.93
_symmetry_space_group_name_H-M 'P -1'
_symmetry_Int_Tables_number 2
_symmetry_space_group_name_Hall '-P 1'
loop_
_atom_site_label
_atom_site_fract_x
_atom_site_fract_y
_atom_site_fract_z
Ru1 0.205 0.466 0.468
S1 0.061 0.396 0.696
S2 0.181 0.771 0.528
S3 0.232 0.359 0.211
S4 0.491 0.383 0.643
I1 0.407 0.101 0.077
```

First-principles (PBE-GGA) data for an optimized crystal structure of Pu2ZnCd, as listed in Alexandria.

Calculated values
**Calculated total energy**: -122.50 eV for the cell shown

```
data_Pu2ZnCd
_chemical_formula_sum 'Pu8 Zn4 Cd4'
_cell_length_a 7.353
_cell_length_b 7.353
_cell_length_c 7.353
_cell_angle_alpha 90.00
_cell_angle_beta 90.00
_cell_angle_gamma 90.00
_symmetry_space_group_name_H-M 'F m -3 m'
_symmetry_Int_Tables_number 225
_symmetry_space_group_name_Hall '-F 4 2 3'
loop_
_atom_site_label
_atom_site_fract_x
_atom_site_fract_y
_atom_site_fract_z
Pu1 0.250 0.250 0.250
Zn1 0.000 0.000 0.000
Cd1 0.000 0.000 0.500
```

First-principles (PBE-GGA) data for an optimized crystal structure of CaCuO2, as listed in Alexandria.

Calculated values
**Formation energy (no corrections)**: -1.677 eV/atom
**Calculated total energy**: -90.89 eV for the cell shown

```
data_CaCuO2
_chemical_formula_sum 'Ca4 Cu4 O8'
_cell_length_a 3.045
_cell_length_b 8.045
_cell_length_c 8.572
_cell_angle_alpha 87.55
_cell_angle_beta 89.99
_cell_angle_gamma 90.00
_symmetry_space_group_name_H-M 'P -1'
_symmetry_Int_Tables_number 2
_symmetry_space_group_name_Hall '-P 1'
loop_
_atom_site_label
_atom_site_fract_x
_atom_site_fract_y
_atom_site_fract_z
Ca1 0.250 0.085 0.323
Ca2 0.250 0.813 0.039
Cu1 0.251 0.277 0.619
Cu2 0.252 0.545 0.802
O1 0.248 0.609 0.261
O2 0.249 0.319 0.134
O3 0.250 0.028 0.839
O4 0.250 0.825 0.488
```

First-principles (PBE-GGA) data for an optimized crystal structure of Al3IrPt2, as listed in Alexandria.

Calculated values
**Calculated total energy**: -37.81 eV for the cell shown

```
data_Al3IrPt2
_chemical_formula_sum 'Al3 Ir1 Pt2'
_cell_length_a 2.911
_cell_length_b 2.911
_cell_length_c 10.219
_cell_angle_alpha 90.00
_cell_angle_beta 90.00
_cell_angle_gamma 90.00
_symmetry_space_group_name_H-M 'P 4/m m m'
_symmetry_Int_Tables_number 123
_symmetry_space_group_name_Hall '-P 4 2'
loop_
_atom_site_label
_atom_site_fract_x
_atom_site_fract_y
_atom_site_fract_z
Al1 0.000 0.000 0.000
Al2 0.000 0.000 0.341
Ir1 0.500 0.500 0.500
Pt1 0.500 0.500 0.169
```